Density functional theory data (GGA-PBE) for SrCdTeIr2 after structural relaxation.

Results
Its density of states at the Fermi level is 1.08 states/eV per atom. The value obtained for the calculated density is 8.55 g cm⁻³. The value obtained for the uncorrected formation energy is 0.913 eV per atom.

The structure in POSCAR format:
```
SrCdTeIr2
1.0
5.054 0.000 0.000
0.000 5.054 0.000
0.000 0.000 5.412
Sr Cd Te Ir
1 1 1 2
Cartesian
0.000 0.000 0.000
2.527 2.527 2.706
2.527 2.527 0.000
0.000 2.527 2.706
2.527 0.000 2.706
```

---

Density functional theory data (GGA-PBE) for SrTlCd2Ir after structural relaxation.

Results
Its density of states at the Fermi level is 0.48 states/eV per atom. The value obtained for the calculated density is 8.11 g cm⁻³. The energy of formation comes out at -0.083 eV/atom.

The structure in POSCAR format:
```
SrTlCd2Ir
1.0
5.268 0.000 0.000
0.000 5.268 0.000
0.000 0.000 5.233
Sr Tl Cd Ir
1 1 2 1
Cartesian
0.000 0.000 0.000
2.634 2.634 0.000
0.000 2.634 2.617
2.634 0.000 2.617
2.634 2.634 2.617
```

---

Density functional theory data (GGA-PBE) for Sr2TlCdIr after structural relaxation.

Results
Its density of states at the Fermi level is 0.59 states/eV per atom. The value obtained for the calculated density is 6.38 g cm⁻³. The energy of formation comes out at -0.146 eV/atom.

The structure in POSCAR format:
```
Sr2TlCdIr
1.0
5.816 0.000 0.000
0.000 5.816 0.000
0.000 0.000 5.261
Sr Tl Cd Ir
2 1 1 1
Cartesian
0.000 2.908 0.000
2.908 0.000 0.000
0.000 0.000 2.631
2.908 2.908 2.631
0.000 0.000 0.000
```

---

Density functional theory data (GGA-PBE) for SrZnCdIr2 after structural relaxation.

Results
Its density of states at the Fermi level is 0.83 states/eV per atom. The value obtained for the calculated density is 8.84 g cm⁻³. The energy of formation comes out at 0.843 eV/atom.

The structure in POSCAR format:
```
SrZnCdIr2
1.0
5.061 0.000 0.000
0.000 5.061 0.000
0.000 0.000 4.764
Sr Zn Cd Ir
1 1 1 2
Cartesian
0.000 0.000 0.000
2.531 2.531 0.000
2.531 2.531 2.382
0.000 2.531 2.382
2.531 0.000 2.382
```

---

Density functional theory data (GGA-PBE) for TaCd2Ir2 after structural relaxation.

Results
Its density of states at the Fermi level is 0.67 states/eV per atom. The value obtained for the calculated density is 13.77 g cm⁻³. The energy of formation comes out at 0.068 eV/atom.

The structure in POSCAR format:
```
TaCd2Ir2
1.0
6.638 0.000 0.000
0.000 6.638 0.000
0.000 0.000 4.326
Ta Cd Ir
2 4 4
Cartesian
0.000 0.000 0.000
3.319 3.319 0.000
1.146 2.173 2.163
2.173 5.492 2.163
4.465 1.146 2.163
5.492 4.465 2.163
0.883 4.202 0.000
2.436 0.883 0.000
4.202 5.755 0.000
5.755 2.436 0.000
```

---

Density functional theory data (GGA-PBE) for TaCd2Ir after structural relaxation.

Results
Its density of states at the Fermi level is 0.10 states/eV per atom. The value obtained for the calculated density is 13.93 g cm⁻³. Its energy above the most stable polymorph in this dataset is 0.196 eV/atom. The energy of formation comes out at 0.098 eV/atom.

The structure in POSCAR format:
```
TaCd2Ir
1.0
-2.259 2.259 3.493
2.259 -2.259 3.493
2.259 2.259 -3.493
Ta Cd Ir
1 2 1
Cartesian
0.000 0.000 0.000
0.000 0.000 3.493
0.000 2.259 1.746
2.259 0.000 1.746
```

---

Density functional theory data (GGA-PBE) for TaCdIr2 after structural relaxation.

Results
Its density of states at the Fermi level is 0.72 states/eV per atom. The value obtained for the calculated density is 16.15 g cm⁻³. The energy of formation comes out at 0.079 eV/atom.

The structure in POSCAR format:
```
TaCdIr2
1.0
3.510 0.000 0.000
0.000 3.510 0.000
0.000 0.000 5.657
Ta Cd Ir
1 1 2
Cartesian
0.000 0.000 0.000
1.755 1.755 1.828
0.000 0.000 3.117
1.755 1.755 4.706
```

---

Density functional theory data (GGA-PBE) for TaCdIr2 after structural relaxation.

Results
Its density of states at the Fermi level is 0.54 states/eV per atom. The value obtained for the calculated density is 16.66 g cm⁻³. The energy of formation comes out at -0.333 eV/atom.

The structure in POSCAR format:
```
TaCdIr2
1.0
2.988 0.000 0.000
0.000 2.988 0.000
0.000 0.000 7.565
Ta Cd Ir
1 1 2
Cartesian
0.000 0.000 0.000
0.000 0.000 3.783
1.494 1.494 1.722
1.494 1.494 5.843
```

---

Which of these has the lowest calculated density? Sr2TlCdIr

---

calculated density of number 6 (TaCd2Ir)? 13.93 g cm⁻³

---

Please write out number 8 again, unchanged.
Density functional theory data (GGA-PBE) for TaCdIr2 after structural relaxation.

Results
Its density of states at the Fermi level is 0.54 states/eV per atom. The value obtained for the calculated density is 16.66 g cm⁻³. The energy of formation comes out at -0.333 eV/atom.

The structure in POSCAR format:
```
TaCdIr2
1.0
2.988 0.000 0.000
0.000 2.988 0.000
0.000 0.000 7.565
Ta Cd Ir
1 1 2
Cartesian
0.000 0.000 0.000
0.000 0.000 3.783
1.494 1.494 1.722
1.494 1.494 5.843
```

---

The highest calculated density belongs to which entry? number 8